P) An optimized crystal structure of GaBiSe3, computed with PBE.

```
data_GaBiSe3
_cell_length_a 7.868
_cell_length_b 3.966
_cell_length_c 10.278
_cell_angle_alpha 90.00
_cell_angle_beta 90.62
_cell_angle_gamma 90.00
_symmetry_space_group_name_H-M 'P 1 21/m 1'
_symmetry_Int_Tables_number 11
_symmetry_space_group_name_Hall '-P 2yb'
loop_
_atom_site_label
_atom_site_fract_x
_atom_site_fract_y
_atom_site_fract_z
_atom_site_occupancy
Ga1 0.045 0.250 0.377 1
Bi1 0.287 0.250 0.939 1
Se1 0.008 0.750 0.849 1
Se2 0.202 0.750 0.470 1
Se3 0.500 0.250 0.174 1
```

***

Q) An optimized crystal structure of GaBiSe3, computed with PBE.

```
data_GaBiSe3
_cell_length_a 5.549
_cell_length_b 5.549
_cell_length_c 5.549
_cell_angle_alpha 90.00
_cell_angle_beta 90.00
_cell_angle_gamma 90.00
_symmetry_space_group_name_H-M 'P m -3 m'
_symmetry_Int_Tables_number 221
_symmetry_space_group_name_Hall '-P 4 2 3'
loop_
_atom_site_label
_atom_site_fract_x
_atom_site_fract_y
_atom_site_fract_z
_atom_site_occupancy
Ga1 0.000 0.000 0.000 1
Bi1 0.500 0.500 0.500 1
Se1 0.000 0.500 0.500 1
```

***

R) An optimized crystal structure of GaBiSe3, computed with PBE.

```
data_GaBiSe3
_cell_length_a 4.069
_cell_length_b 24.000
_cell_length_c 6.625
_cell_angle_alpha 90.00
_cell_angle_beta 90.00
_cell_angle_gamma 90.00
_symmetry_space_group_name_H-M 'A m a 2'
_symmetry_Int_Tables_number 40
_symmetry_space_group_name_Hall 'A 2 -2a'
loop_
_atom_site_label
_atom_site_fract_x
_atom_site_fract_y
_atom_site_fract_z
_atom_site_occupancy
Ga1 0.250 0.125 0.000 1
Bi1 0.250 0.332 0.057 1
Se1 0.250 0.102 0.352 1
Se2 0.250 0.216 0.838 1
Se3 0.250 0.421 0.343 1
```

***

S) An optimized crystal structure of GaBiSe3, computed with PBE.

```
data_GaBiSe3
_cell_length_a 4.990
_cell_length_b 4.990
_cell_length_c 4.990
_cell_angle_alpha 90.00
_cell_angle_beta 90.00
_cell_angle_gamma 90.00
_symmetry_space_group_name_H-M 'P m -3 m'
_symmetry_Int_Tables_number 221
_symmetry_space_group_name_Hall '-P 4 2 3'
loop_
_atom_site_label
_atom_site_fract_x
_atom_site_fract_y
_atom_site_fract_z
_atom_site_occupancy
Ga1 0.000 0.000 0.000 1
Bi1 0.500 0.500 0.500 1
Se1 0.000 0.000 0.500 1
```

***

R) wins, 5.4 kJ/mol of atoms ahead of the next structure.

***

P) An optimized crystal structure of Ga2BiSe2, computed with PBE.

```
data_Ga2BiSe2
_cell_length_a 8.171
_cell_length_b 8.171
_cell_length_c 3.826
_cell_angle_alpha 90.00
_cell_angle_beta 90.00
_cell_angle_gamma 90.00
_symmetry_space_group_name_H-M 'P 4/m b m'
_symmetry_Int_Tables_number 127
_symmetry_space_group_name_Hall '-P 4 2ab'
loop_
_atom_site_label
_atom_site_fract_x
_atom_site_fract_y
_atom_site_fract_z
_atom_site_occupancy
Ga1 0.124 0.376 0.000 1
Bi1 0.000 0.000 0.500 1
Se1 0.194 0.694 0.500 1
```

***

Q) An optimized crystal structure of Ga2BiSe2, computed with PBE.

```
data_Ga2BiSe2
_cell_length_a 4.523
_cell_length_b 4.523
_cell_length_c 12.593
_cell_angle_alpha 90.00
_cell_angle_beta 90.00
_cell_angle_gamma 90.00
_symmetry_space_group_name_H-M 'I 4/m m m'
_symmetry_Int_Tables_number 139
_symmetry_space_group_name_Hall '-I 4 2'
loop_
_atom_site_label
_atom_site_fract_x
_atom_site_fract_y
_atom_site_fract_z
_atom_site_occupancy
Ga1 0.000 0.500 0.250 1
Bi1 0.000 0.000 0.000 1
Se1 0.000 0.000 0.361 1
```

***

P) wins, 16.8 kJ/mol of atoms ahead of the next structure.

***

P) An optimized crystal structure of Ga2SiBi, computed with PBE.

```
data_Ga2SiBi
_cell_length_a 7.031
_cell_length_b 7.031
_cell_length_c 7.031
_cell_angle_alpha 90.00
_cell_angle_beta 90.00
_cell_angle_gamma 90.00
_symmetry_space_group_name_H-M 'F m -3 m'
_symmetry_Int_Tables_number 225
_symmetry_space_group_name_Hall '-F 4 2 3'
loop_
_atom_site_label
_atom_site_fract_x
_atom_site_fract_y
_atom_site_fract_z
_atom_site_occupancy
Ga1 0.250 0.250 0.250 1
Si1 0.000 0.000 0.000 1
Bi1 0.000 0.000 0.500 1
```

***

Q) An optimized crystal structure of Ga2SiBi, computed with PBE.

```
data_Ga2SiBi
_cell_length_a 6.074
_cell_length_b 6.074
_cell_length_c 11.830
_cell_angle_alpha 90.00
_cell_angle_beta 90.00
_cell_angle_gamma 90.00
_symmetry_space_group_name_H-M 'I -4 2 d'
_symmetry_Int_Tables_number 122
_symmetry_space_group_name_Hall 'I -4 2bw'
loop_
_atom_site_label
_atom_site_fract_x
_atom_site_fract_y
_atom_site_fract_z
_atom_site_occupancy
Ga1 0.198 0.250 0.125 1
Si1 0.000 0.000 0.000 1
Bi1 0.000 0.000 0.500 1
```

***

Q) wins, 21.6 kJ/mol of atoms ahead of the next structure.

***

P) An optimized crystal structure of SmGa2Bi, computed with PBE.

```
data_SmGa2Bi
_cell_length_a 4.681
_cell_length_b 4.681
_cell_length_c 4.419
_cell_angle_alpha 90.00
_cell_angle_beta 90.00
_cell_angle_gamma 90.00
_symmetry_space_group_name_H-M 'P 4/m m m'
_symmetry_Int_Tables_number 123
_symmetry_space_group_name_Hall '-P 4 2'
loop_
_atom_site_label
_atom_site_fract_x
_atom_site_fract_y
_atom_site_fract_z
_atom_site_occupancy
Sm1 0.000 0.000 0.000 1
Ga1 0.000 0.500 0.500 1
Bi1 0.500 0.500 0.000 1
```

***

Q) An optimized crystal structure of SmGa2Bi, computed with PBE.

```
data_SmGa2Bi
_cell_length_a 5.2796
_cell_length_b 5.2796
_cell_length_c 12.6317
_cell_angle_alpha 90.00
_cell_angle_beta 90.00
_cell_angle_gamma 120.00
_symmetry_space_group_name_H-M 'R -3 m'
_symmetry_Int_Tables_number 166
_symmetry_space_group_name_Hall '-R 3 2"'
loop_
_atom_site_label
_atom_site_fract_x
_atom_site_fract_y
_atom_site_fract_z
_atom_site_occupancy
Sm1 0.0000 0.0000 0.0000 1
Ga1 0.0000 0.0000 0.2501 1
Bi1 0.0000 0.0000 0.5000 1
```

***

P) wins, 23.4 kJ/mol of atoms ahead of the next structure.

***

P) An optimized crystal structure of Ga2SnBi, computed with PBE.

```
data_Ga2SnBi
_cell_length_a 3.3038
_cell_length_b 3.3038
_cell_length_c 33.4910
_cell_angle_alpha 90.00
_cell_angle_beta 90.00
_cell_angle_gamma 120.00
_symmetry_space_group_name_H-M 'R -3 m'
_symmetry_Int_Tables_number 166
_symmetry_space_group_name_Hall '-R 3 2"'
loop_
_atom_site_label
_atom_site_fract_x
_atom_site_fract_y
_atom_site_fract_z
_atom_site_occupancy
Ga1 0.0000 0.0000 0.0869 1
Sn1 0.0000 0.0000 0.0000 1
Bi1 0.0000 0.0000 0.5000 1
```

***

Q) An optimized crystal structure of Ga2SnBi, computed with PBE.

```
data_Ga2SnBi
_cell_length_a 5.763
_cell_length_b 4.241
_cell_length_c 8.709
_cell_angle_alpha 90.00
_cell_angle_beta 92.12
_cell_angle_gamma 90.00
_symmetry_space_group_name_H-M 'P 1 21/m 1'
_symmetry_Int_Tables_number 11
_symmetry_space_group_name_Hall '-P 2yb'
loop_
_atom_site_label
_atom_site_fract_x
_atom_site_fract_y
_atom_site_fract_z
_atom_site_occupancy
Ga1 0.125 0.250 0.412 1
Ga2 0.363 0.750 0.555 1
Sn1 0.470 0.750 0.201 1
Bi1 0.143 0.750 0.891 1
```

***

Q) wins, 8.7 kJ/mol of atoms ahead of the next structure.

***

P) An optimized crystal structure of Ga2SnBi, computed with PBE.

```
data_Ga2SnBi
_cell_length_a 4.2560
_cell_length_b 4.2560
_cell_length_c 13.7398
_cell_angle_alpha 90.00
_cell_angle_beta 90.00
_cell_angle_gamma 120.00
_symmetry_space_group_name_H-M 'P 63/m m c'
_symmetry_Int_Tables_number 194
_symmetry_space_group_name_Hall '-P 6c 2c'
loop_
_atom_site_label
_atom_site_fract_x
_atom_site_fract_y
_atom_site_fract_z
_atom_site_occupancy
Ga1 0.3333 0.6667 0.1168 1
Sn1 0.0000 0.0000 0.0000 1
Bi1 0.0000 0.0000 0.2500 1
```

***

Q) An optimized crystal structure of Ga2SnBi, computed with PBE.

```
data_Ga2SnBi
_cell_length_a 7.349
_cell_length_b 7.349
_cell_length_c 7.349
_cell_angle_alpha 90.00
_cell_angle_beta 90.00
_cell_angle_gamma 90.00
_symmetry_space_group_name_H-M 'F m -3 m'
_symmetry_Int_Tables_number 225
_symmetry_space_group_name_Hall '-F 4 2 3'
loop_
_atom_site_label
_atom_site_fract_x
_atom_site_fract_y
_atom_site_fract_z
_atom_site_occupancy
Ga1 0.250 0.250 0.250 1
Sn1 0.000 0.000 0.000 1
Bi1 0.000 0.000 0.500 1
```

***

Q) wins, 0.8 kJ/mol of atoms ahead of the next structure.